No. 1
Material: PrHo2P3
Method: DFT, PBE
State: optimized geometry

Lattice parameters (Å, degrees): 7.0339 7.0339 7.0339 146.43 131.72 60.08
Closest atoms and distances in Å follow each position.
Fractional positions:
Pr  0.0000  0.0000  0.0000  6 P 2.88-2.93
Ho  0.3341  0.3341  0.0000  6 P 2.82-2.88
Ho  0.6659  0.6659  0.0000  6 P 2.82-2.88
P  0.1736  0.6736  0.5000  4 Ho 2.82-2.88, 2 Pr 2.93
P  0.5000  0.0000  0.5000  4 Ho 2.86, 2 Pr 2.88
P  0.8264  0.3264  0.5000  4 Ho 2.82-2.88, 2 Pr 2.93

Values from the calculation:
Formation enthalpy at 0 K   -151 kJ per mole of atoms
DOS(E_F)   0.78 states/eV per cell
Calculated volume   142.3 Å³/cell
VASP energy   -6.59 eV per atom


No. 2
Material: CuReBiB2
Method: DFT, PBE
State: optimized geometry

Lattice parameters (Å, degrees): 4.1440 4.1440 4.8857 90.00 90.00 90.00
Closest atoms and distances in Å follow each position.
Fractional positions:
Cu  0.0000  0.0000  0.0000  2 Re 2.44
Re  0.0000  0.0000  0.5000  4 B 2.07
Bi  0.5000  0.5000  0.0000  4 Cu 2.93, 8 B 3.20
B  0.0000  0.5000  0.5000  2 Re 2.07
B  0.5000  0.0000  0.5000  2 Re 2.07

Values from the calculation:
Formation enthalpy at 0 K   97 kJ per mole of atoms
DOS(E_F)   2.25 states/eV per cell
Calculated volume   83.9 Å³/cell
VASP energy   -5.75 eV per atom


No. 3
Material: MgTi2O4
Method: DFT, PBE
State: optimized geometry

Lattice parameters (Å, degrees): 7.6488 7.6488 9.6187 128.88 128.88 21.90
Closest atoms and distances in Å follow each position.
Fractional positions:
Mg  0.1638  0.1638  0.1517  5 O 2.09-2.14
Mg  0.8362  0.8362  0.8483  5 O 2.09-2.14
Ti  0.1322  0.1322  0.8144  5 O 1.90-2.09
Ti  0.3521  0.3521  0.5207  6 O 2.00-2.20
Ti  0.6479  0.6479  0.4793  6 O 2.00-2.20
Ti  0.8678  0.8678  0.1856  5 O 1.90-2.09
O  0.0317  0.0317  0.3341  3 Ti 1.90-2.00
O  0.2885  0.2885  0.6521  3 Ti 2.01-2.20, 2 Mg 2.11
O  0.3325  0.3325  0.0005  3 Ti 2.09-2.32, 2 Mg 2.09
O  0.3477  0.3477  0.3082  3 Ti 2.00-2.01, 1 Mg 2.14
O  0.6523  0.6523  0.6918  3 Ti 2.00-2.01, 1 Mg 2.14
O  0.6675  0.6675  0.9995  3 Ti 2.09-2.32, 2 Mg 2.09
O  0.7115  0.7115  0.3479  3 Ti 2.01-2.20, 2 Mg 2.11
O  0.9683  0.9683  0.6659  3 Ti 1.90-2.00

Values from the calculation:
DOS(E_F)   4.94 states/eV per cell
E above lowest polymorph   131.4 meV per atom
Calculated volume   161.4 Å³/cell
VASP energy   -8.01 eV per atom
Energy relative to the elements, uncorrected   -2.6915 eV/atom


No. 4
Material: Tc2TePt
Method: DFT, PBE
State: optimized geometry

Lattice parameters (Å, degrees): 4.5870 4.5870 4.5870 60.00 60.00 60.00
Closest atoms and distances in Å follow each position.
Fractional positions:
Tc  0.0000  0.0000  0.0000  4 Pt 2.81, 4 Tc 2.81
Tc  0.2500  0.2500  0.2500  4 Tc 2.81, 4 Te 2.81
Te  0.5000  0.5000  0.5000  4 Pt 2.81, 4 Tc 2.81
Pt  0.7500  0.7500  0.7500  4 Tc 2.81, 4 Te 2.81

Values from the calculation:
DOS(E_F)   5.43 states/eV per cell
Calculated volume   68.2 Å³/cell
VASP energy   -6.95 eV per atom
Energy relative to the elements, uncorrected   0.5332 eV/atom


No. 5
Material: Cu3NiMo
Method: DFT, PBE
State: optimized geometry

Lattice parameters (Å, degrees): 4.6125 4.6125 4.6125 90.00 90.00 90.00
Closest atoms and distances in Å follow each position.
Fractional positions:
Cu  0.0000  0.0000  0.5000  2 Mo 2.31
Cu  0.0000  0.5000  0.0000  2 Mo 2.31
Cu  0.5000  0.0000  0.0000  2 Mo 2.31
Ni  0.5000  0.5000  0.5000  12 Cu 3.26
Mo  0.0000  0.0000  0.0000  6 Cu 2.31

Values from the calculation:
Formation enthalpy at 0 K   176 kJ per mole of atoms
DOS(E_F)   8.36 states/eV per cell
E above lowest polymorph   655.8 meV per atom
Calculated volume   98.1 Å³/cell
VASP energy   -3.96 eV per atom


No. 6
Material: AcLaBiPd
Method: DFT, PBE
State: optimized geometry

Lattice parameters (Å, degrees): 5.5836 5.5836 5.5836 60.00 60.00 60.00
Closest atoms and distances in Å follow each position.
Fractional positions:
Ac  0.0000  0.0000  0.0000  4 Bi 3.42, 4 Pd 3.42
La  0.5000  0.5000  0.5000  4 Bi 3.42, 4 Pd 3.42
Bi  0.2500  0.2500  0.2500  4 Ac 3.42, 4 La 3.42
Pd  0.7500  0.7500  0.7500  4 Ac 3.42, 4 La 3.42

Values from the calculation:
Formation enthalpy at 0 K   -65 kJ per mole of atoms
DOS(E_F)   3.41 states/eV per cell
Calculated volume   123.1 Å³/cell
VASP energy   -5.20 eV per atom


No. 7
Material: La5Mg4Pb
Method: DFT, PBE
State: optimized geometry

Lattice parameters (Å, degrees): 3.9790 3.9790 19.8471 90.00 90.00 90.00
Closest atoms and distances in Å follow each position.
Fractional positions:
La  0.0000  0.0000  0.0000  8 Mg 3.44
La  0.0000  0.0000  0.1997  8 Mg 3.40-3.44
La  0.0000  0.0000  0.3979  4 Pb 3.47, 4 Mg 3.47
La  0.0000  0.0000  0.6021  4 Pb 3.47, 4 Mg 3.47
La  0.0000  0.0000  0.8003  8 Mg 3.40-3.44
Mg  0.5000  0.5000  0.0997  8 La 3.44
Mg  0.5000  0.5000  0.2957  8 La 3.40-3.47
Mg  0.5000  0.5000  0.7043  8 La 3.40-3.47
Mg  0.5000  0.5000  0.9003  8 La 3.44
Pb  0.5000  0.5000  0.5000  8 La 3.47

Values from the calculation:
Formation enthalpy at 0 K   -20 kJ per mole of atoms
DOS(E_F)   11.51 states/eV per cell
Calculated volume   314.2 Å³/cell
VASP energy   -3.68 eV per atom


Repeat the first record exactly.
Material: PrHo2P3
Method: DFT, PBE
State: optimized geometry

Lattice parameters (Å, degrees): 7.0339 7.0339 7.0339 146.43 131.72 60.08
Closest atoms and distances in Å follow each position.
Fractional positions:
Pr  0.0000  0.0000  0.0000  6 P 2.88-2.93
Ho  0.3341  0.3341  0.0000  6 P 2.82-2.88
Ho  0.6659  0.6659  0.0000  6 P 2.82-2.88
P  0.1736  0.6736  0.5000  4 Ho 2.82-2.88, 2 Pr 2.93
P  0.5000  0.0000  0.5000  4 Ho 2.86, 2 Pr 2.88
P  0.8264  0.3264  0.5000  4 Ho 2.82-2.88, 2 Pr 2.93

Values from the calculation:
Formation enthalpy at 0 K   -151 kJ per mole of atoms
DOS(E_F)   0.78 states/eV per cell
Calculated volume   142.3 Å³/cell
VASP energy   -6.59 eV per atom